No. 1
Below is a relaxed ZnHg2Bi2 crystal, with properties calculated at the PBE level.

As for the energy relative to the lowest polymorph listed for this composition: 0 meV per atom. The value obtained for the total energy is -1.757 eV/atom. As for the crystal system: tetragonal. The calculation puts the volume at 144.07 Å³/f.u. The formation energy is 0.17 eV per atom.

Cell: 7.7023 7.7023 4.8571 Å, 90.00 90.00 90.00°
Last column: nearest neighbours and their distance in Å.
Sites, in units of the cell vectors:
Zn 0.0000 0.0000 0.0000  4 Bi 2.92
Zn 0.5000 0.5000 0.0000  4 Bi 2.92
Bi 0.3470 0.8470 0.0000  2 Zn 2.92, 2 Hg 3.18
Bi 0.8470 0.6530 0.0000  2 Zn 2.92, 2 Hg 3.18
Bi 0.6530 0.1530 0.0000  2 Zn 2.92, 2 Hg 3.18
Bi 0.1530 0.3470 0.0000  2 Zn 2.92, 2 Hg 3.18
Hg 0.1582 0.6582 0.5000  6 Bi 3.18-3.41, 1 Hg 3.45
Hg 0.6582 0.8418 0.5000  6 Bi 3.18-3.41, 1 Hg 3.45
Hg 0.8418 0.3418 0.5000  6 Bi 3.18-3.41, 1 Hg 3.45
Hg 0.3418 0.1582 0.5000  6 Bi 3.18-3.41, 1 Hg 3.45

No. 2
Below is a relaxed PuNbSe4 crystal, with properties calculated at the PBE level.

The value obtained for the total energy is -7.255 eV/atom. As for the crystal system: tetragonal. The calculation puts the volume at 165.81 Å³/f.u. The calculation puts the raw formation energy at -19.95 kcal/mol of atoms.

Cell: 7.5861 7.5861 7.5861 Å, 105.83 105.83 117.03°
Last column: nearest neighbours and their distance in Å.
Sites, in units of the cell vectors:
Pu 0.7484 0.7484 0.0000  6 Se 2.80-2.85
Pu 0.4984 0.9984 0.5000  6 Se 2.80-2.85
Nb 0.2565 0.2565 0.0000  6 Se 2.55-2.72
Nb 0.0065 0.5065 0.5000  6 Se 2.55-2.72
Se 0.2259 0.9293 0.7034  2 Nb 2.55-2.72, 1 Pu 2.85
Se 0.7717 0.4656 0.6940  1 Nb 2.57, 2 Pu 2.80-2.81
Se 0.6793 0.4759 0.2034  2 Nb 2.55-2.72, 1 Pu 2.85
Se 0.2156 0.0217 0.1940  1 Nb 2.57, 2 Pu 2.80-2.81
Se 0.2725 0.4759 0.7966  2 Nb 2.55-2.72, 1 Pu 2.85
Se 0.8277 0.0217 0.8060  1 Nb 2.57, 2 Pu 2.80-2.81
Se 0.7717 0.0777 0.3060  1 Nb 2.57, 2 Pu 2.80-2.81
Se 0.2259 0.5225 0.2966  2 Nb 2.55-2.72, 1 Pu 2.85

No. 3
Below is a relaxed MnAgIr crystal, with properties calculated at the PBE level.

As for the energy relative to the lowest polymorph listed for this composition: 0 meV per atom. The value obtained for the total energy is -6.783 eV/atom. As for the crystal system: tetragonal. The calculation puts the volume at 46.55 Å³/f.u. The formation energy is 0.18 eV per atom.

Cell: 5.9926 5.9926 5.9926 Å, 152.25 152.25 39.64°
Last column: nearest neighbours and their distance in Å.
Sites, in units of the cell vectors:
Ag 0.0032 0.0032 0.0000  4 Mn 2.85, 4 Ag 2.87, 4 Ir 2.93
Ir 0.3164 0.3164 0.0000  4 Mn 2.55
Mn 0.6804 0.6804 0.0000  4 Ir 2.55, 4 Ag 2.85

No. 4
Below is a relaxed Bi4Br3O4 crystal, with properties calculated at the PBE level.

The value obtained for the total energy is -4.373 eV/atom. As for the crystal system: orthorhombic. The calculation puts the volume at 243.86 Å³/f.u. The calculation puts the raw formation energy at -16.20 kcal/mol of atoms.

Cell: 3.5322 9.4406 8.8814 Å, 122.11 101.47 90.00°
Last column: nearest neighbours and their distance in Å.
Sites, in units of the cell vectors:
Bi 0.1916 0.6916 0.3831  4 O 2.39
Bi 0.8084 0.3084 0.6169  4 O 2.39
Bi 0.5000 0.7594 0.0000  2 O 2.29
Bi 0.5000 0.2406 0.0000  2 O 2.29
Br 0.1205 0.1205 0.2410  6 Bi 3.27-3.37, 3 Br 3.53
Br 0.8795 0.8795 0.7590  6 Bi 3.27-3.37, 3 Br 3.53
Br 0.0000 0.5000 0.0000  6 Bi 2.80-3.02, 8 O 3.06
O 0.3596 0.2079 0.7192  3 Bi 2.29-2.39
O 0.6404 0.4888 0.2808  3 Bi 2.29-2.39
O 0.6404 0.7921 0.2808  3 Bi 2.29-2.39
O 0.3596 0.5112 0.7192  3 Bi 2.29-2.39

No. 5
Below is a relaxed CaSc2BeAl crystal, with properties calculated at the PBE level.

The value obtained for the total energy is -2.819 eV/atom. As for the crystal system: tetragonal. The calculation puts the volume at 131.20 Å³/f.u. The formation energy is 1.61 eV per atom.

Cell: 5.0017 5.2446 5.0017 Å, 90.00 90.00 90.00°
Last column: nearest neighbours and their distance in Å.
Sites, in units of the cell vectors:
Sc 0.0000 0.0000 0.5000  2 Ca 2.50
Sc 0.5000 0.0000 0.0000  2 Ca 2.50
Be 0.5000 0.5000 0.5000  4 Al 3.54, 8 Sc 3.62
Ca 0.0000 0.0000 0.0000  4 Sc 2.50, 2 Al 2.62
Al 0.0000 0.5000 0.0000  2 Ca 2.62

No. 6
Below is a relaxed La2NdHo9 crystal, with properties calculated at the PBE level.

As for the energy relative to the lowest polymorph listed for this composition: 0 meV per atom. The value obtained for the total energy is -4.621 eV/atom. As for the crystal system: tetragonal. The calculation puts the volume at 388.64 Å³/f.u. The formation energy is 0.03 eV per atom.

Cell: 5.0594 5.0594 15.1831 Å, 90.00 90.00 90.00°
Last column: nearest neighbours and their distance in Å.
Sites, in units of the cell vectors:
La 0.0000 0.0000 0.3338  12 Ho 3.57-3.60
La 0.0000 0.0000 0.6662  12 Ho 3.57-3.60
Nd 0.0000 0.0000 0.0000  12 Ho 3.56-3.58
Ho 0.5000 0.5000 0.0000  8 Ho 3.56, 4 Nd 3.58
Ho 0.5000 0.5000 0.3322  4 La 3.58, 8 Ho 3.59
Ho 0.5000 0.5000 0.6678  4 La 3.58, 8 Ho 3.59
Ho 0.5000 0.0000 0.1648  8 Ho 3.56-3.59, 2 Nd 3.56, 2 La 3.60
Ho 0.5000 0.0000 0.5000  4 La 3.57, 8 Ho 3.58-3.59
Ho 0.5000 0.0000 0.8352  8 Ho 3.56-3.59, 2 Nd 3.56, 2 La 3.60
Ho 0.0000 0.5000 0.1648  8 Ho 3.56-3.59, 2 Nd 3.56, 2 La 3.60
Ho 0.0000 0.5000 0.5000  4 La 3.57, 8 Ho 3.58-3.59
Ho 0.0000 0.5000 0.8352  8 Ho 3.56-3.59, 2 Nd 3.56, 2 La 3.60

No. 7
Below is a relaxed SrMgBe2Ir crystal, with properties calculated at the PBE level.

The value obtained for the total energy is -4.027 eV/atom. As for the crystal system: tetragonal. The calculation puts the volume at 99.03 Å³/f.u. The formation energy is -0.11 eV per atom.

Cell: 4.4959 4.8995 4.4959 Å, 90.00 90.00 90.00°
Last column: nearest neighbours and their distance in Å.
Sites, in units of the cell vectors:
Sr 0.5000 0.5000 0.5000  4 Mg 3.18, 8 Be 3.32
Mg 0.0000 0.5000 0.0000  2 Ir 2.45
Ir 0.0000 0.0000 0.0000  4 Be 2.25, 2 Mg 2.45
Be 0.0000 0.0000 0.5000  2 Ir 2.25
Be 0.5000 0.0000 0.0000  2 Ir 2.25

No. 8
Below is a relaxed CoMo2As crystal, with properties calculated at the PBE level.

The value obtained for the total energy is -8.294 eV/atom. As for the crystal system: tetragonal. The calculation puts the volume at 57.82 Å³/f.u. The formation energy is 0.06 eV per atom.

Cell: 3.2127 3.2127 5.6014 Å, 90.00 90.00 90.00°
Last column: nearest neighbours and their distance in Å.
Sites, in units of the cell vectors:
As 0.0000 0.0000 0.5026  5 Mo 2.59-2.63, 4 Co 2.71
Co 0.5000 0.5000 0.7661  6 Mo 2.53-2.80, 4 As 2.71
Mo 0.0000 0.0000 0.9652  4 Co 2.53, 1 As 2.59, 4 Mo 2.83
Mo 0.5000 0.5000 0.2660  4 As 2.63, 2 Co 2.80, 4 Mo 2.83

No. 9
Below is a relaxed CaNiMoP2 crystal, with properties calculated at the PBE level.

The value obtained for the total energy is -6.622 eV/atom. As for the crystal system: tetragonal. The calculation puts the volume at 86.45 Å³/f.u. The formation energy is -0.74 eV per atom.

Cell: 3.9284 3.9284 6.2527 Å, 108.31 108.31 90.00°
Last column: nearest neighbours and their distance in Å.
Sites, in units of the cell vectors:
Ca 0.0000 0.0000 0.0000  8 P 3.17, 4 Mo 3.42, 4 Ni 3.42
Ni 0.2500 0.7500 0.5000  4 P 2.34
Mo 0.7500 0.2500 0.5000  4 P 2.34
P 0.6361 0.6361 0.2722  2 Mo 2.34, 2 Ni 2.34
P 0.3639 0.3639 0.7278  2 Ni 2.34, 2 Mo 2.34

No. 10
Below is a relaxed ScIrOs2 crystal, with properties calculated at the PBE level.

As for the energy relative to the lowest polymorph listed for this composition: 174 meV per atom. The value obtained for the total energy is -9.416 eV/atom. As for the crystal system: orthorhombic. The calculation puts the volume at 63.73 Å³/f.u. The formation energy is 0.00 eV per atom.

Cell: 5.6113 5.6113 5.6113 Å, 150.53 132.43 56.96°
Last column: nearest neighbours and their distance in Å.
Sites, in units of the cell vectors:
Ir 0.2253 0.7253 0.5000  6 Os 2.67-2.73, 2 Ir 2.85
Os 0.9969 0.9969 0.0000  4 Os 2.58-2.85, 2 Ir 2.67, 4 Sc 2.68
Os 0.7785 0.2785 0.5000  4 Os 2.58-2.85, 4 Ir 2.73
Sc 0.4993 0.4993 0.0000  4 Os 2.68, 2 Sc 2.85